one:
Here is a relaxed BeGeOF2 crystal from the Alexandria database. Energies are from PBE.

Cell: 4.2213 4.2213 3.7550 Å, 90.00 90.00 90.00°
Last column: nearest neighbours and their distance in Å.
Fractional coordinates of all 5 atoms:
Be  0.5000  0.5000  0.5000  8 F 2.82, 4 O 2.98
Ge  0.0000  0.0000  0.0000  2 O 1.88
O  0.0000  0.0000  0.5000  2 Ge 1.88
F  0.0000  0.5000  0.0000  2 Ge 2.11
F  0.5000  0.0000  0.0000  2 Ge 2.11

two:
Here is a relaxed BeGeOF2 crystal from the Alexandria database. Energies are from PBE.

Cell: 3.4285 3.4285 4.1162 Å, 90.00 90.00 90.00°
Last column: nearest neighbours and their distance in Å.
Fractional coordinates of all 5 atoms:
Be  0.0000  0.0000  0.0000  4 F 1.71
Ge  0.5000  0.5000  0.5000  4 O 2.42, 8 F 2.68
O  0.0000  0.0000  0.5000  2 Be 2.06
F  0.0000  0.5000  0.0000  2 Be 1.71
F  0.5000  0.0000  0.0000  2 Be 1.71

Last place for stability: one

one:
Here is a relaxed BeHF crystal from the Alexandria database. Energies are from PBE.

Cell: 4.1974 5.2794 5.5034 Å, 77.48 90.00 90.00°
Last column: nearest neighbours and their distance in Å.
Fractional coordinates of all 12 atoms:
Be  0.8228  0.2835  0.8523  2 H 1.45-1.46, 2 F 1.56
Be  0.3228  0.2165  0.1477  2 H 1.45-1.46, 2 F 1.56
Be  0.1772  0.7165  0.1477  2 H 1.45-1.46, 2 F 1.56
Be  0.6772  0.7835  0.8523  2 H 1.45-1.46, 2 F 1.56
H  0.6621  0.2316  0.0914  2 Be 1.45-1.46
H  0.1621  0.2684  0.9086  2 Be 1.45-1.46
H  0.3379  0.7684  0.9086  2 Be 1.45-1.46
H  0.8379  0.7316  0.0914  2 Be 1.45-1.46
F  0.7472  0.0669  0.7073  2 Be 1.56
F  0.2472  0.4331  0.2927  2 Be 1.56
F  0.2528  0.9331  0.2927  2 Be 1.56
F  0.7528  0.5669  0.7073  2 Be 1.56

two:
Here is a relaxed BeHF crystal from the Alexandria database. Energies are from PBE.

Cell: 4.6071 2.5105 2.5105 Å, 120.00 90.00 90.00°
Last column: nearest neighbours and their distance in Å.
Fractional coordinates of all 3 atoms:
Be  0.3372  0.6667  0.3333  3 H 1.69, 3 F 1.72
H  0.5262  0.3333  0.6667  3 Be 1.69
F  0.1366  0.0000  0.0000  3 Be 1.72

three:
Here is a relaxed BeHF crystal from the Alexandria database. Energies are from PBE.

Cell: 2.6838 2.5478 16.1878 Å, 90.00 90.00 90.00°
Last column: nearest neighbours and their distance in Å.
Fractional coordinates of all 12 atoms:
Be  0.7500  0.2502  0.3675  2 H 1.51, 2 F 1.57
Be  0.2500  0.7502  0.1325  2 H 1.51, 2 F 1.57
Be  0.7500  0.2498  0.8675  2 H 1.51, 2 F 1.57
Be  0.2500  0.7498  0.6325  2 H 1.51, 2 F 1.57
H  0.2500  0.2502  0.1821  2 Be 1.51
H  0.7500  0.7502  0.3179  2 Be 1.51
H  0.2500  0.2498  0.6821  2 Be 1.51
H  0.7500  0.7498  0.8179  2 Be 1.51
F  0.7500  0.7502  0.0825  2 Be 1.57
F  0.2500  0.2502  0.4175  2 Be 1.57
F  0.7500  0.7498  0.5825  2 Be 1.57
F  0.2500  0.2498  0.9175  2 Be 1.57

Last place for stability: two

one:
Here is a relaxed Be2H2F7 crystal from the Alexandria database. Energies are from PBE.

Cell: 5.1800 5.2963 5.2963 Å, 78.10 114.17 114.17°
Last column: nearest neighbours and their distance in Å.
Fractional coordinates of all 11 atoms:
Be  0.0000  0.3332  0.6668  4 F 1.54-1.59
Be  0.0000  0.6668  0.3332  4 F 1.54-1.59
H  0.3733  0.0673  0.0673  1 F 1.06
H  0.6267  0.9327  0.9327  1 F 1.06
F  0.7454  0.0544  0.6845  1 Be 1.54, 1 H 1.58
F  0.2546  0.3155  0.9456  1 Be 1.54, 1 H 1.58
F  0.2546  0.9456  0.3155  1 Be 1.54, 1 H 1.58
F  0.7454  0.6845  0.0544  1 Be 1.54, 1 H 1.58
F  0.5000  0.0000  0.0000  2 H 1.06
F  0.0744  0.3924  0.3924  2 Be 1.59
F  0.9256  0.6076  0.6076  2 Be 1.59

two:
Here is a relaxed Be2H2F7 crystal from the Alexandria database. Energies are from PBE.

Cell: 6.8365 6.8365 7.0785 Å, 75.82 75.82 108.79°
Last column: nearest neighbours and their distance in Å.
Fractional coordinates of all 22 atoms:
Be  0.3121  0.1158  0.1665  4 F 1.55-1.58
Be  0.1158  0.3121  0.6665  4 F 1.55-1.58
Be  0.8842  0.6879  0.3335  4 F 1.55-1.58
Be  0.6879  0.8842  0.8335  4 F 1.55-1.58
H  0.6304  0.8103  0.5308  2 F 1.13-1.16
H  0.1897  0.3696  0.9692  2 F 1.13-1.16
H  0.8103  0.6304  0.0308  2 F 1.13-1.16
H  0.3696  0.1897  0.4692  2 F 1.13-1.16
F  0.8594  0.5168  0.5429  1 Be 1.58
F  0.2516  0.3196  0.1043  1 H 1.16
F  0.4196  0.1303  0.3363  1 H 1.13
F  0.1006  0.8994  0.2500  2 Be 1.55
F  0.5168  0.8594  0.0429  1 Be 1.58
F  0.3196  0.2516  0.6043  1 H 1.16
F  0.1303  0.4196  0.8363  1 H 1.13
F  0.8697  0.5804  0.1637  1 H 1.13
F  0.6804  0.7484  0.3957  1 H 1.16
F  0.4832  0.1406  0.9571  1 Be 1.58
F  0.8994  0.1006  0.7500  2 Be 1.55
F  0.5804  0.8697  0.6637  1 H 1.13
F  0.7484  0.6804  0.8957  1 H 1.16
F  0.1406  0.4832  0.4571  1 Be 1.58

Last place for stability: one

one:
Here is a relaxed BeH2F crystal from the Alexandria database. Energies are from PBE.

Cell: 2.7058 2.7058 6.8701 Å, 78.64 78.64 90.00°
Last column: nearest neighbours and their distance in Å.
Fractional coordinates of all 8 atoms:
Be  0.5000  0.5000  0.0000  4 H 1.78, 4 F 1.91
Be  0.2500  0.7500  0.5000  4 H 1.78, 4 F 1.91
H  0.3750  0.1250  0.2500  2 H 1.35
H  0.3750  0.6250  0.2500  2 H 1.35
H  0.3750  0.6250  0.7500  2 H 1.35
H  0.8750  0.6250  0.7500  2 H 1.35
F  0.0000  0.0000  0.0000  4 Be 1.91
F  0.7500  0.2500  0.5000  4 Be 1.91

two:
Here is a relaxed BeH2F crystal from the Alexandria database. Energies are from PBE.

Cell: 3.3635 3.3635 3.3635 Å, 60.00 60.00 60.00°
Last column: nearest neighbours and their distance in Å.
Fractional coordinates of all 4 atoms:
Be  0.0000  0.0000  0.0000  8 H 2.06
H  0.2500  0.2500  0.2500  4 F 2.06, 4 Be 2.06
H  0.7500  0.7500  0.7500  4 F 2.06, 4 Be 2.06
F  0.5000  0.5000  0.5000  8 H 2.06

Last place for stability: two

one:
Here is a relaxed Be2HF crystal from the Alexandria database. Energies are from PBE.

Cell: 3.6499 3.6499 3.6499 Å, 60.00 60.00 60.00°
Last column: nearest neighbours and their distance in Å.
Fractional coordinates of all 4 atoms:
Be  0.2500  0.2500  0.2500  4 F 2.24, 4 H 2.24
Be  0.7500  0.7500  0.7500  4 F 2.24, 4 H 2.24
H  0.0000  0.0000  0.0000  8 Be 2.24
F  0.5000  0.5000  0.5000  8 Be 2.24

two:
Here is a relaxed Be2HF crystal from the Alexandria database. Energies are from PBE.

Cell: 3.9264 3.9264 4.9740 Å, 66.75 66.75 90.00°
Last column: nearest neighbours and their distance in Å.
Fractional coordinates of all 8 atoms:
Be  0.5642  0.1250  0.2500  2 H 1.61
Be  0.1858  0.6250  0.2500  2 H 1.61
Be  0.3750  0.4358  0.7500  2 H 1.61
Be  0.8750  0.8142  0.7500  2 H 1.61
H  0.5000  0.5000  0.0000  4 Be 1.61
H  0.2500  0.7500  0.5000  4 Be 1.61
F  0.0000  0.0000  0.0000  4 Be 1.88
F  0.7500  0.2500  0.5000  4 Be 1.88

Last place for stability: one

one:
Here is a relaxed BeH3F crystal from the Alexandria database. Energies are from PBE.

Cell: 3.1768 3.1768 3.1768 Å, 90.00 90.00 90.00°
Last column: nearest neighbours and their distance in Å.
Fractional coordinates of all 5 atoms:
Be  0.0000  0.0000  0.0000  6 H 1.59
H  0.0000  0.5000  0.0000  2 Be 1.59
H  0.0000  0.0000  0.5000  2 Be 1.59
H  0.5000  0.0000  0.0000  2 Be 1.59
F  0.5000  0.5000  0.5000  12 H 2.25

two:
Here is a relaxed BeH3F crystal from the Alexandria database. Energies are from PBE.

Cell: 3.3688 3.3688 3.3688 Å, 90.00 90.00 90.00°
Last column: nearest neighbours and their distance in Å.
Fractional coordinates of all 5 atoms:
Be  0.5000  0.5000  0.5000  12 H 2.38
H  0.0000  0.5000  0.0000  2 F 1.68
H  0.0000  0.0000  0.5000  2 F 1.68
H  0.5000  0.0000  0.0000  2 F 1.68
F  0.0000  0.0000  0.0000  6 H 1.68

Last place for stability: two